Entry 1:
K2MnCl (PBE, optimized geometry); ρ = 2.14 g/cm3; density of states at the Fermi level = 3.7 states/eV/f.u.
1.0
3.687 0.000 0.000
0.000 3.714 -0.001
0.000 3.723 9.542
K Mn Cl
2 1 1
Cartesian
0.000 3.721 9.069
0.000 3.720 5.243
1.844 1.859 2.385
1.844 5.577 7.155


Entry 2:
KMnCl5 (PBE, optimized geometry); ρ = 2.19 g/cm3
1.0
6.270 0.889 1.758
1.537 6.143 1.758
1.072 0.966 11.570
Cl K Mn
10 2 2
Cartesian
4.902 1.899 7.594
1.863 4.195 1.809
2.960 1.574 10.763
1.338 2.298 4.978
6.720 4.221 13.193
1.656 4.479 8.231
4.092 0.698 2.446
4.362 5.761 7.408
6.440 1.803 10.897
1.929 5.734 5.112
4.624 4.775 10.563
4.694 3.618 4.778
2.215 6.356 7.159
7.088 2.023 12.944


Entry 3:
K2MnCl (PBE, optimized geometry); ρ = 1.91 g/cm3; density of states at the Fermi level = 3.3 states/eV/f.u.
1.0
-0.272 0.778 -4.022
2.590 -1.770 -2.649
-5.636 -8.049 -3.189
K Mn Cl
2 1 1
Cartesian
-1.335 -4.137 -4.892
1.994 -1.376 -6.709
-2.488 -6.781 -7.395
-0.829 -2.260 -2.465


| no. | formation energy without anion corrections (kJ per mole of atoms) |
| --- | --- |
| 1 | -29.7 |
| 2 | -109.0 |
| 3 | -27.6 |